Compound: AcTiCd
Source: the Alexandria database
Functional: PBE-GGA
Structure: optimized geometry

abc: 15.5742 3.5200 6.0537
angles: 90.00 90.00 90.00
Space group Amm2 (No. 38)
One atom of each set of equivalent atoms:
Ac 0.1912 0.0000 0.0000 x4
Ti 0.3581 0.0000 0.6644 x4
Cd 0.0000 0.0000 0.6630 x2
Cd 0.5000 0.0000 0.3290 x2

Computed properties:
As for the formation energy from the elements: 37.8 kJ/mol of atoms. The size of the total moment is 0.0 μB per formula unit. Its total energy is -0.288 Ry per atom.



Compound: Ac2TiCd
Source: the Alexandria database
Functional: PBE-GGA
Structure: optimized geometry

abc: 3.5904 3.5904 36.0208
angles: 90.00 90.00 120.00
Space group R-3m (No. 166, hexagonal axes)
One atom of each set of equivalent atoms:
Ac 0.0000 0.0000 0.0873 x6
Ti 0.0000 0.0000 0.0000 x3
Cd 0.0000 0.0000 0.5000 x3

Computed properties:
As for the formation energy from the elements: 53.4 kJ/mol of atoms. The size of the total moment is 1.8 μB per formula unit. Its total energy is -0.272 Ry per atom.



Compound: Ac3Tl2Cd7
Source: the Alexandria database
Functional: PBE-GGA
Structure: optimized geometry

abc: 4.9823 4.8009 15.1346
angles: 90.00 99.07 90.00
Space group P2/m (No. 10)
One atom of each set of equivalent atoms:
Ac 0.0000 0.0000 0.0000 x1
Ac 0.3217 0.5000 0.6475 x2
Tl 0.1323 0.0000 0.2714 x2
Cd 0.0880 0.5000 0.1564 x2
Cd 0.2318 0.0000 0.4615 x2
Cd 0.4230 0.0000 0.8442 x2
Cd 0.5000 0.5000 0.0000 x1

Computed properties:
As for the formation energy from the elements: -20.4 kJ/mol of atoms. The size of the total moment is 0.0 μB per formula unit. Its total energy is -0.159 Ry per atom.



Compound: AcTlCd4
Source: the Alexandria database
Functional: PBE-GGA
Structure: optimized geometry

abc: 8.7031 8.7031 8.7031
angles: 90.00 90.00 90.00
Space group F-43m (No. 216)
One atom of each set of equivalent atoms:
Ac 0.0000 0.0000 0.0000 x4
Tl 0.2500 0.2500 0.2500 x4
Cd 0.1251 0.1251 0.6251 x16

Computed properties:
As for the formation energy from the elements: -16.8 kJ/mol of atoms. The size of the total moment is 0.0 μB per formula unit. Its total energy is -0.137 Ry per atom. The calculation puts the energy above the lowest structure with this stoichiometry at 1.6 kJ/mol of atoms.